Record 1
First-principles (PBE-GGA) data for a relaxed Tm6NiSb2 crystal, as listed in Alexandria.

Summary:
* raw total energy: -5.084 eV per atom

Lattice parameters (Å, degrees): 6.2720 7.8082 11.5849 90.00 121.77 90.00
Last column: nearest neighbours and their distance in Å.
Sites, in units of the cell vectors:
Tm: 0.0931 0.1870 0.4585  1 Ni 2.75, 1 Sb 3.06
Tm: 0.0931 0.3130 0.9585  1 Ni 2.75, 1 Sb 3.06
Tm: 0.3260 0.6805 0.4574  1 Ni 2.66
Tm: 0.3260 0.8195 0.9574  1 Ni 2.66
Tm: 0.3748 0.0239 0.2474  1 Ni 2.61
Tm: 0.3748 0.4761 0.7474  1 Ni 2.61
Tm: 0.6252 0.5239 0.2526  1 Ni 2.61
Tm: 0.6252 0.9761 0.7526  1 Ni 2.61
Tm: 0.6740 0.1805 0.0426  1 Ni 2.66
Tm: 0.6740 0.3195 0.5426  1 Ni 2.66
Tm: 0.9069 0.6870 0.0415  1 Ni 2.75, 1 Sb 3.06
Tm: 0.9069 0.8130 0.5415  1 Ni 2.75, 1 Sb 3.06
Ni: 0.5000 0.0000 0.5000  6 Tm 2.61-2.75
Ni: 0.5000 0.5000 0.0000  6 Tm 2.61-2.75
Sb: 0.1509 0.1155 0.7479  8 Tm 3.06-3.30
Sb: 0.1509 0.3845 0.2479  8 Tm 3.06-3.30
Sb: 0.8491 0.6155 0.7521  8 Tm 3.06-3.30
Sb: 0.8491 0.8845 0.2521  8 Tm 3.06-3.30


Record 2
First-principles (PBE-GGA) data for a relaxed MgTe2N crystal, as listed in Alexandria.

Summary:
* raw total energy: -3.593 eV per atom
* energy relative to the lowest polymorph listed for this composition: 1.4 kJ per mole of atoms

Lattice parameters (Å, degrees): 7.5027 7.5027 7.5027 134.52 134.52 66.27
Last column: nearest neighbours and their distance in Å.
Sites, in units of the cell vectors:
Mg: 0.0000 0.0000 0.0000  4 Te 2.89
Mg: 0.7500 0.2500 0.5000  4 Te 2.89
Te: 0.2106 0.6250 0.0856  2 N 2.34
Te: 0.3750 0.4606 0.5856  2 N 2.34
Te: 0.5394 0.1250 0.9144  2 N 2.34
Te: 0.8750 0.7894 0.4144  2 N 2.34
N: 0.2500 0.7500 0.5000  4 Te 2.34
N: 0.5000 0.5000 0.0000  4 Te 2.34


Record 3
First-principles (PBE-GGA) data for a relaxed Ac4Tb5Pm crystal, as listed in Alexandria.

Summary:
* raw total energy: -4.335 eV per atom
* energy relative to the elements: 0.0990 eV per atom

Lattice parameters (Å, degrees): 9.0804 9.0804 7.3438 101.20 101.20 38.85
Last column: nearest neighbours and their distance in Å.
Sites, in units of the cell vectors:
Ac: 0.1017 0.1017 0.4042  8 Tb 3.60-3.89, 2 Ac 3.91-4.02
Ac: 0.3070 0.3070 0.2504  8 Tb 3.43-3.79
Ac: 0.6930 0.6930 0.7496  8 Tb 3.43-3.79
Ac: 0.8983 0.8983 0.5958  8 Tb 3.60-3.89, 2 Ac 3.91-4.02
Tb: 0.1066 0.1066 0.9164  6 Ac 3.60-3.85, 2 Pm 3.65, 3 Tb 3.83-3.96
Tb: 0.3057 0.3057 0.7558  1 Pm 3.44, 6 Ac 3.58-3.72, 1 Tb 3.83
Tb: 0.5000 0.5000 0.5000  6 Ac 3.43-3.63, 2 Pm 3.67
Tb: 0.6943 0.6943 0.2442  1 Pm 3.44, 6 Ac 3.58-3.72, 1 Tb 3.83
Tb: 0.8934 0.8934 0.0836  6 Ac 3.60-3.85, 2 Pm 3.65, 3 Tb 3.83-3.96
Pm: 0.5000 0.5000 0.0000  8 Tb 3.44-3.67


Record 4
First-principles (PBE-GGA) data for a relaxed Y2SiBi2 crystal, as listed in Alexandria.

Summary:
* raw total energy: -5.633 eV per atom

Lattice parameters (Å, degrees): 7.7530 7.7530 4.7193 90.00 90.00 90.00
Last column: nearest neighbours and their distance in Å.
Sites, in units of the cell vectors:
Y: 0.1666 0.3334 0.0000  2 Si 2.89, 2 Bi 3.10
Y: 0.3334 0.8334 0.0000  2 Si 2.89, 2 Bi 3.10
Y: 0.6666 0.1666 0.0000  2 Si 2.89, 2 Bi 3.10
Y: 0.8334 0.6666 0.0000  2 Si 2.89, 2 Bi 3.10
Si: 0.0000 0.0000 0.0000  4 Y 2.89
Si: 0.5000 0.5000 0.0000  4 Y 2.89
Bi: 0.1498 0.6498 0.5000  6 Y 3.10-3.41, 1 Bi 3.29
Bi: 0.3502 0.1498 0.5000  6 Y 3.10-3.41, 1 Bi 3.29
Bi: 0.6498 0.8502 0.5000  6 Y 3.10-3.41, 1 Bi 3.29
Bi: 0.8502 0.3502 0.5000  6 Y 3.10-3.41, 1 Bi 3.29


Record 5
First-principles (PBE-GGA) data for a relaxed Sr2LaBe crystal, as listed in Alexandria.

Summary:
* raw total energy: -2.782 eV per atom
* energy relative to the elements: 0.2226 eV per atom

Lattice parameters (Å, degrees): 3.7881 3.7881 10.1807 90.00 90.00 90.00
Last column: nearest neighbours and their distance in Å.
Sites, in units of the cell vectors:
Sr: 0.0000 0.0000 0.0000  4 Sr 3.79, 4 La 4.17
Sr: 0.5000 0.5000 0.3460  4 Be 3.31, 1 La 3.47
La: 0.5000 0.5000 0.6865  4 Be 3.08
Be: 0.0000 0.0000 0.5374  4 La 3.08, 4 Sr 3.31


Record 6
First-principles (PBE-GGA) data for a relaxed Ga2MoCl crystal, as listed in Alexandria.

Summary:
* raw total energy: -3.960 eV per atom
* energy relative to the lowest polymorph listed for this composition: 30.3 kJ per mole of atoms

Lattice parameters (Å, degrees): 4.7344 4.7344 4.7344 60.00 60.00 60.00
Last column: nearest neighbours and their distance in Å.
Sites, in units of the cell vectors:
Ga: 0.2500 0.2500 0.2500  4 Cl 2.90, 4 Mo 2.90
Ga: 0.7500 0.7500 0.7500  4 Mo 2.90, 4 Cl 2.90
Mo: 0.0000 0.0000 0.0000  8 Ga 2.90
Cl: 0.5000 0.5000 0.5000  8 Ga 2.90


What is the formula in the third record? Ac4Tb5Pm


What is the raw total energy in the fourth record? -5.633 eV per atom


Which value of raw total energy does entry 3 give? -4.335 eV per atom